Crystalline Na3V2Ge3O12 at its relaxed geometry. Source: Alexandria, functional PBE+U.

Results
Raw total energy = -6.397 eV per atom
Space-group type = No. 230

```
Na3V2Ge3O12
1.0
-6.153 6.153 6.153
6.153 -6.153 6.153
6.153 6.153 -6.153
Na V Ge O
12 8 12 48
Direct
0.125 0.250 0.375 Na
0.125 0.375 0.750 Na
0.250 0.375 0.125 Na
0.250 0.875 0.625 Na
0.375 0.125 0.250 Na
0.375 0.750 0.125 Na
0.625 0.250 0.875 Na
0.625 0.875 0.750 Na
0.750 0.125 0.375 Na
0.750 0.625 0.875 Na
0.875 0.625 0.250 Na
0.875 0.750 0.625 Na
0.000 0.000 0.000 V
0.000 0.000 0.500 V
0.000 0.500 0.000 V
0.000 0.500 0.500 V
0.500 0.000 0.000 V
0.500 0.000 0.500 V
0.500 0.500 0.000 V
0.500 0.500 0.500 V
0.125 0.750 0.875 Ge
0.125 0.875 0.250 Ge
0.250 0.125 0.875 Ge
0.250 0.625 0.375 Ge
0.375 0.250 0.625 Ge
0.375 0.625 0.750 Ge
0.625 0.375 0.250 Ge
0.625 0.750 0.375 Ge
0.750 0.375 0.625 Ge
0.750 0.875 0.125 Ge
0.875 0.125 0.750 Ge
0.875 0.250 0.125 Ge
0.011 0.192 0.112 O
0.011 0.319 0.899 O
0.080 0.692 0.681 O
0.080 0.888 0.399 O
0.101 0.612 0.420 O
0.101 0.989 0.681 O
0.112 0.011 0.192 O
0.112 0.601 0.920 O
0.181 0.192 0.580 O
0.181 0.489 0.601 O
0.192 0.112 0.011 O
0.192 0.580 0.181 O
0.308 0.319 0.920 O
0.308 0.489 0.388 O
0.319 0.899 0.011 O
0.319 0.920 0.308 O
0.388 0.308 0.489 O
0.388 0.580 0.899 O
0.399 0.080 0.888 O
0.399 0.819 0.511 O
0.420 0.101 0.612 O
0.420 0.819 0.808 O
0.489 0.388 0.308 O
0.489 0.601 0.181 O
0.511 0.399 0.819 O
0.511 0.612 0.692 O
0.580 0.181 0.192 O
0.580 0.899 0.388 O
0.601 0.181 0.489 O
0.601 0.920 0.112 O
0.612 0.420 0.101 O
0.612 0.692 0.511 O
0.681 0.080 0.692 O
0.681 0.101 0.989 O
0.692 0.511 0.612 O
0.692 0.681 0.080 O
0.808 0.420 0.819 O
0.808 0.888 0.989 O
0.819 0.511 0.399 O
0.819 0.808 0.420 O
0.888 0.399 0.080 O
0.888 0.989 0.808 O
0.899 0.011 0.319 O
0.899 0.388 0.580 O
0.920 0.112 0.601 O
0.920 0.308 0.319 O
0.989 0.681 0.101 O
0.989 0.808 0.888 O
```